Entry 1:
Compound: YPPt
Source: Alexandria
Functional: GGA-PBE
Structure: relaxed

As for the formation energy from the elements: -1250 meV/atom. The calculation puts the total energy at -7.221 eV per atom.

a b c (Å): 5.686 5.686 5.686
angles (deg): 137.00 101.87 93.61
Fractional positions:
Y 0.234 0.234 0.000
Y 0.766 0.766 0.000
P 0.341 0.000 0.341
P 0.659 0.000 0.659
Pt 0.192 0.500 0.692
Pt 0.808 0.500 0.308

---

Entry 2:
Compound: YP2Pt
Source: Alexandria
Functional: GGA-PBE
Structure: relaxed

As for the formation energy from the elements: -444 meV/atom. The value obtained for the energy above the most stable polymorph in this dataset is 625 meV per atom. The calculation puts the total energy at -6.275 eV per atom.

a b c (Å): 4.623 4.623 4.623
angles (deg): 60.00 60.00 60.00
Fractional positions:
Y 0.000 0.000 0.000
P 0.250 0.250 0.250
P 0.750 0.750 0.750
Pt 0.500 0.500 0.500

---

Entry 3:
Compound: YPPt2
Source: Alexandria
Functional: GGA-PBE
Structure: relaxed

As for the formation energy from the elements: -638 meV/atom. The calculation puts the total energy at -6.627 eV per atom.

a b c (Å): 3.605 3.605 5.632
angles (deg): 90.00 90.00 90.00
Fractional positions:
Y 0.000 0.000 0.000
P 0.000 0.000 0.500
Pt 0.500 0.500 0.264
Pt 0.500 0.500 0.736

---

Entry 4:
Compound: Y2PPt5
Source: Alexandria
Functional: GGA-PBE
Structure: relaxed

As for the formation energy from the elements: -967 meV/atom. The calculation puts the total energy at -7.035 eV per atom.

a b c (Å): 6.006 6.006 6.006
angles (deg): 122.39 122.39 85.91
Fractional positions:
Y 0.000 0.500 0.500
Y 0.500 0.000 0.500
P 0.139 0.139 0.000
Pt 0.506 0.506 0.000
Pt 0.515 0.515 0.518
Pt 0.515 0.997 0.000
Pt 0.997 0.515 0.000
Pt 0.997 0.997 0.482

---

Entry 5:
Compound: YPPt2
Source: Alexandria
Functional: GGA-PBE
Structure: relaxed

As for the formation energy from the elements: -820 meV/atom. The calculation puts the total energy at -6.809 eV per atom.

a b c (Å): 8.105 8.105 8.105
angles (deg): 144.22 144.22 51.50
Fractional positions:
Y 0.000 0.000 0.000
Y 0.750 0.250 0.500
P 0.250 0.750 0.500
P 0.500 0.500 0.000
Pt 0.238 0.625 0.113
Pt 0.375 0.488 0.613
Pt 0.512 0.125 0.887
Pt 0.875 0.762 0.387

---

Entry 6:
Compound: YPPt2
Source: Alexandria
Functional: GGA-PBE
Structure: relaxed

As for the formation energy from the elements: -714 meV/atom. The calculation puts the total energy at -6.703 eV per atom.

a b c (Å): 4.025 4.025 4.377
angles (deg): 90.00 90.00 90.00
Fractional positions:
Y 0.000 0.000 0.000
P 0.500 0.500 0.000
Pt 0.000 0.500 0.500
Pt 0.500 0.000 0.500

---

Entry 7:
Compound: YPPt2
Source: Alexandria
Functional: GGA-PBE
Structure: relaxed

As for the formation energy from the elements: -976 meV/atom. The calculation puts the total energy at -6.965 eV per atom.

a b c (Å): 5.908 5.908 7.576
angles (deg): 90.00 90.00 120.00
Fractional positions:
Y 0.000 0.500 0.167
Y 0.500 0.000 0.500
Y 0.500 0.500 0.833
P 0.000 0.500 0.667
P 0.500 0.000 0.000
P 0.500 0.500 0.333
Pt 0.135 0.269 0.500
Pt 0.135 0.865 0.833
Pt 0.269 0.135 0.167
Pt 0.731 0.865 0.167
Pt 0.865 0.135 0.833
Pt 0.865 0.731 0.500

---

Entry 8:
Compound: YPPt2
Source: Alexandria
Functional: GGA-PBE
Structure: relaxed

As for the formation energy from the elements: -854 meV/atom. The calculation puts the total energy at -6.843 eV per atom.

a b c (Å): 5.037 5.037 4.201
angles (deg): 100.02 100.02 50.00
Fractional positions:
Y 0.000 0.000 0.000
P 0.779 0.779 0.391
Pt 0.253 0.253 0.601
Pt 0.544 0.544 0.538

---

Number 1: M_tot 0.0 μB per formula unit. Number 2: M_tot 0.0 μB per formula unit. Number 3: M_tot 0.0 μB per formula unit. Number 4: M_tot 0.0 μB per formula unit. Number 5: M_tot 0.0 μB per formula unit. Number 6: M_tot 0.0 μB per formula unit. Number 7: M_tot 0.0 μB per formula unit. Number 8: M_tot 0.0 μB per formula unit.